# YMgNiPb (PBE, optimized geometry)
data_YMgNiPb
_symmetry_space_group_name_H-M 'P 1'
_symmetry_Int_Tables_number 1
_cell_length_a 4.896
_cell_length_b 4.896
_cell_length_c 4.896
_cell_angle_alpha 60.00
_cell_angle_beta 60.00
_cell_angle_gamma 60.00
loop_
_symmetry_equiv_pos_as_xyz
'x,y,z'
loop_
_atom_site_label
_atom_site_type_symbol
_atom_site_fract_x
_atom_site_fract_y
_atom_site_fract_z
Y1 Y 0.000 0.000 0.000
Mg1 Mg 0.250 0.250 0.250
Ni1 Ni 0.750 0.750 0.750
Pb1 Pb 0.500 0.500 0.500
# Electronic total energy ... -17.8 eV/cell
# Space group ... No. 216


# SmDyAsO (PBE, optimized geometry)
data_SmDyAsO
_symmetry_space_group_name_H-M 'P 1'
_symmetry_Int_Tables_number 1
_cell_length_a 4.385
_cell_length_b 4.385
_cell_length_c 8.934
_cell_angle_alpha 90.00
_cell_angle_beta 90.00
_cell_angle_gamma 90.00
loop_
_symmetry_equiv_pos_as_xyz
'x,y,z'
loop_
_atom_site_label
_atom_site_type_symbol
_atom_site_fract_x
_atom_site_fract_y
_atom_site_fract_z
Sm1 Sm 0.250 0.250 0.106
Sm2 Sm 0.750 0.750 0.894
Dy1 Dy 0.250 0.750 0.500
Dy2 Dy 0.750 0.250 0.500
As1 As 0.250 0.250 0.701
As2 As 0.750 0.750 0.299
O1 O 0.250 0.750 0.000
O2 O 0.750 0.250 0.000
# Electronic total energy ... -53.0 eV/cell
# Relative energy among the computed polymorphs ... 71 meV/atom
# Space group ... No. 129


# DyTmBe (PBE, optimized geometry)
data_DyTmBe
_symmetry_space_group_name_H-M 'P 1'
_symmetry_Int_Tables_number 1
_cell_length_a 4.730
_cell_length_b 4.730
_cell_length_c 4.730
_cell_angle_alpha 60.00
_cell_angle_beta 60.00
_cell_angle_gamma 60.00
loop_
_symmetry_equiv_pos_as_xyz
'x,y,z'
loop_
_atom_site_label
_atom_site_type_symbol
_atom_site_fract_x
_atom_site_fract_y
_atom_site_fract_z
Dy1 Dy 0.000 0.000 0.000
Tm1 Tm 0.750 0.750 0.750
Be1 Be 0.500 0.500 0.500
# Electronic total energy ... -9.9 eV/cell
# Space group ... No. 216


Question: Among the records above, which one has the lowest electronic total energy?
Answer: SmDyAsO


Copy entry 2 word for word.
# SmDyAsO (PBE, optimized geometry)
data_SmDyAsO
_symmetry_space_group_name_H-M 'P 1'
_symmetry_Int_Tables_number 1
_cell_length_a 4.385
_cell_length_b 4.385
_cell_length_c 8.934
_cell_angle_alpha 90.00
_cell_angle_beta 90.00
_cell_angle_gamma 90.00
loop_
_symmetry_equiv_pos_as_xyz
'x,y,z'
loop_
_atom_site_label
_atom_site_type_symbol
_atom_site_fract_x
_atom_site_fract_y
_atom_site_fract_z
Sm1 Sm 0.250 0.250 0.106
Sm2 Sm 0.750 0.750 0.894
Dy1 Dy 0.250 0.750 0.500
Dy2 Dy 0.750 0.250 0.500
As1 As 0.250 0.250 0.701
As2 As 0.750 0.750 0.299
O1 O 0.250 0.750 0.000
O2 O 0.750 0.250 0.000
# Electronic total energy ... -53.0 eV/cell
# Relative energy among the computed polymorphs ... 71 meV/atom
# Space group ... No. 129


Question: Number 3 is which compound?
Answer: DyTmBe


Question: Which of these has the lowest electronic total energy?
Answer: SmDyAsO